[1]
6
Lattice="-2.8913 0.3122 -2.7867 -0.8226 -5.7389 0.2106 -4.9708 3.8498 5.5886" Properties=species:S:1:pos:R:3 comment="UTl2S3 (PBE, relaxed)" rho_g_cm3=6.69 m_tot_mub_per_cell=1.989 e_form_raw_mev_per_atom=-846 de_polymorph_mev_per_atom=61.0 pbc="T T T"
S -6.0453 -1.9504 3.1430
S -2.6393 0.3735 -0.1305
S -0.4113 -2.8694 0.1053
Tl -3.4929 -2.4154 0.4427
Tl -5.1917 0.8384 2.5698
U 0.0000 0.0000 0.0000

=====

[2]
6
Lattice="-7.4525 0.2499 -1.5481 -5.9217 0.4370 -4.7688 -1.7584 -5.7872 -1.1720" Properties=species:S:1:pos:R:3 comment="HgAs2 (PBE, relaxed)" delta_e_f_mev_per_atom=121 rho_g_cm3=7.48 m_tot_mub_per_cell=0.000 pbc="T T T"
As -8.6411 -3.0584 -4.2848
As -3.0130 -2.1285 -1.5558
As -12.1197 -2.9718 -5.9331
As -6.4916 -2.0419 -3.2041
Hg -11.9038 0.5836 -5.6240
Hg -3.2288 -5.6839 -1.8649

=====

[3]
14
Lattice="5.8316 0.0000 0.0000 0.0000 7.0329 -2.7816 0.0000 -0.0093 7.3647" Properties=species:S:1:pos:R:3 comment="TmSc4Os2 (PBE, relaxed)" delta_e_f_mev_per_atom=-295 rho_g_cm3=8.02 m_tot_mub_per_cell=0.000 pbc="T T T"
Os 1.4579 1.7671 6.4376
Os 4.3737 5.2565 -1.8545
Os 4.3737 2.6554 2.0685
Os 1.4579 4.3682 2.5146
Sc 1.4579 6.8779 1.7949
Sc 5.8263 2.9460 4.4444
Sc 2.9211 2.9460 4.4444
Sc 4.3737 0.1457 2.7882
Sc 1.4579 1.8056 1.7345
Sc 2.9105 4.0776 0.1387
Sc 4.3737 5.2180 2.8486
Sc 0.0053 4.0776 0.1387
Tm 4.3737 1.1024 -0.3159
Tm 1.4579 5.9212 4.8989

=====

[4]
11
Lattice="4.7143 0.0000 0.0000 0.0000 4.7143 0.0000 -2.3571 -2.3571 16.0124" Properties=species:S:1:pos:R:3 comment="Sm3Ho6Sc2 (PBE, relaxed)" delta_e_f_mev_per_atom=294 rho_g_cm3=7.14 m_tot_mub_per_cell=0.000 de_polymorph_mev_per_atom=201.1 pbc="T T T"
Ho 0.0000 0.0000 9.8639
Ho 0.0000 2.3571 12.3010
Ho 2.3571 2.3571 6.1484
Ho 2.3571 0.0000 12.3010
Ho 2.3571 0.0000 3.7114
Ho 0.0000 2.3571 3.7114
Sm 0.0000 0.0000 6.4354
Sm 2.3571 2.3571 9.5769
Sm 0.0000 0.0000 0.0000
Sc 2.3571 2.3571 1.4006
Sc 0.0000 0.0000 14.6118

=====

[5]
18
Lattice="-4.5368 2.7236 -0.4121 -0.0673 -5.3052 -0.1428 -1.0529 -0.2536 9.9159" Properties=species:S:1:pos:R:3 comment="TbPuGaO6 (PBE, relaxed)" rho_g_cm3=7.76 m_tot_mub_per_cell=4.000 e_form_raw_mev_per_atom=-2561 pbc="T T T"
O -2.2867 0.7671 6.1793
O -1.9850 -1.0312 3.3946
O -2.5454 -1.0970 8.3504
O -3.8649 1.5162 8.2772
O -3.6720 -1.8041 5.9664
O -5.1976 0.6935 5.8683
O -3.1116 -1.7383 1.0105
O -0.4594 -3.5288 3.4927
O -5.4532 -0.9331 8.0459
O -3.3702 -3.6023 3.1817
O -1.7921 -4.3514 1.0838
O -0.2038 -1.9022 1.3151
Tb -0.5264 -0.1268 4.9579
Tb 0.0000 0.0000 0.0000
Ga -1.8203 -2.6924 2.2464
Ga -3.8366 -0.1429 7.1146
Pu -3.3102 -0.0161 2.1566
Pu -2.3468 -2.8192 7.2043

=====

[6]
5
Lattice="-4.0807 -2.3852 -4.7027 1.6228 -4.4921 0.8702 -4.7789 -0.8405 4.5731" Properties=species:S:1:pos:R:3 comment="Rb2TcPtI (PBE, relaxed)" rho_g_cm3=4.55 m_tot_mub_per_cell=3.621 e_form_raw_mev_per_atom=253 pbc="T T T"
Tc 0.8114 -2.2461 0.4351
I -3.6184 -3.8589 0.3703
Rb -2.0404 -1.1926 -2.3514
Rb -2.3894 -0.4202 2.2865
Pt 0.0000 0.0000 0.0000

=====

[7]
19
Lattice="-5.2751 2.4131 -2.3588 -2.9203 -5.4365 -1.0631 -3.3356 -0.1261 5.2982" Properties=species:S:1:pos:R:3 comment="Y2Co5Ni12 (PBE, relaxed)" delta_e_f_mev_per_atom=-165 rho_g_cm3=8.13 m_tot_mub_per_cell=12.791 pbc="T T T"
Ni -3.6159 -3.1176 -1.4459
Ni -6.0897 0.6982 1.7740
Ni -5.8783 -2.0052 -1.4643
Ni -4.5794 0.0942 -1.9760
Ni -3.9085 0.6240 3.0362
Ni -5.4412 -3.8476 0.1023
Ni -4.8910 -3.2978 2.4336
Ni -3.2129 -1.6949 3.4190
Ni -3.0430 -3.8677 0.8162
Ni -5.6526 -1.1443 3.3406
Ni -6.6399 0.1483 -0.5573
Ni -4.7021 1.6630 -0.0968
Co -1.6678 -0.0630 2.6491
Co -10.4409 -2.8517 1.6989
Co -1.0900 -0.2977 0.1774
Co -2.6375 1.2065 -1.1794
Co -1.4601 -2.7182 -0.5316
Y -3.9633 -1.0825 0.6449
Y -7.5676 -2.0669 1.2314

=====

[8]
5
Lattice="-0.7113 -3.3516 -4.4725 5.0212 -2.9041 1.3776 -2.9531 -3.6025 3.1692" Properties=species:S:1:pos:R:3 comment="LaY2AgTe (PBE, relaxed)" rho_g_cm3=4.85 m_tot_mub_per_cell=0.000 e_form_raw_mev_per_atom=35 pbc="T T T"
Te 0.0000 0.0000 0.0000
Y -0.3556 -1.6758 -2.2363
Y -1.4765 -1.8012 1.5846
La 2.5106 -1.4520 0.6888
Ag 0.6784 -4.9290 0.0372

=====

[9]
4
Lattice="3.4701 0.0000 0.0000 0.0000 3.4691 0.0000 0.0000 0.0000 5.5293" Properties=species:S:1:pos:R:3 comment="Fe2TePt (PBE, relaxed)" rho_g_cm3=10.84 m_tot_mub_per_cell=6.055 e_form_raw_mev_per_atom=215 pbc="T T T"
Fe 0.0000 0.0000 2.5680
Fe 0.0000 0.0000 0.1967
Te 1.7350 1.7345 4.1470
Pt 1.7350 1.7345 1.3823

=====

[10]
6
Lattice="-1.0162 -3.0108 2.2337 4.5858 -1.9435 2.8436 -2.0142 1.9004 5.0224" Properties=species:S:1:pos:R:3 comment="LaHPd (PBE, relaxed)" rho_g_cm3=7.26 m_tot_mub_per_cell=0.000 de_polymorph_mev_per_atom=191.3 pbc="T T T"
La -0.9164 -0.5403 5.6091
La 2.4718 -2.5136 4.4906
H 1.1533 -2.3014 7.5539
H 0.4021 -0.7525 2.5457
Pd 1.8629 -0.6293 6.7534
Pd -0.3075 -2.4246 3.3462

=====

[11]
18
Lattice="-4.8890 -1.3881 -2.4700 3.1549 0.8248 -6.7081 4.4470 -6.4677 1.2962" Properties=species:S:1:pos:R:3 comment="Dy2Mn3Ge4 (PBE, relaxed)" delta_e_f_mev_per_atom=-437 rho_g_cm3=8.27 m_tot_mub_per_cell=16.033 pbc="T T T"
Mn -2.0160 -3.9179 -3.5032
Mn 0.0000 0.0000 0.0000
Mn 2.2843 -3.8070 -5.6138
Mn -0.8671 -0.2816 -4.5891
Mn 0.4285 -3.2239 -2.2682
Mn 4.7289 -3.1130 -4.3788
Dy 0.4065 -5.9103 -3.9468
Dy 2.3063 -1.1206 -3.9352
Dy 1.8331 -5.4824 -0.5474
Dy 0.8797 -1.5486 -7.3346
Ge 2.9491 -6.1844 -5.5935
Ge 3.7772 -1.8884 -6.4151
Ge -0.2362 -0.8465 -2.2885
Ge 2.7035 -4.1025 -3.0456
Ge 0.0093 -2.9285 -4.8363
Ge 5.3936 -5.4903 -4.3584
Ge -2.6807 -1.5406 -3.5235
Ge -1.0644 -5.1425 -1.4669

=====

[12]
4
Lattice="-1.6806 -3.2123 0.2912 3.8205 -0.0198 -0.7432 0.1807 0.7977 9.1868" Properties=species:S:1:pos:R:3 comment="CsMgTcSe (PBE, relaxed)" rho_g_cm3=4.89 m_tot_mub_per_cell=0.000 e_form_raw_mev_per_atom=120 de_polymorph_mev_per_atom=74.2 pbc="T T T"
Se -0.2259 -0.7220 8.2944
Mg 2.2671 -2.7017 1.5265
Tc 1.7232 -0.5129 -0.1936
Cs 1.1834 -1.7331 5.4176